(1)
# Hf3Zr2Pd3 | Alexandria | PBE | optimized geometry
# Size of the total moment (μB per formula unit): 0.00
# DFT total energy (eV per atom): -8.093
# Energy of formation (eV/f.u.): -2.21
data_Hf3Zr2Pd3
_chemical_formula_sum 'Hf3 Zr2 Pd3'
_cell_length_a 7.9275
_cell_length_b 7.9275
_cell_length_c 2.8887
_cell_angle_alpha 90.00
_cell_angle_beta 90.00
_cell_angle_gamma 120.00
_symmetry_space_group_name_H-M 'P -6 2 m'
_symmetry_Int_Tables_number 189
_symmetry_space_group_name_Hall 'P -6 -2'
loop_
_atom_site_label
_atom_site_type_symbol
_atom_site_fract_x
_atom_site_fract_y
_atom_site_fract_z
_atom_site_occupancy
Hf1 Hf 0.0000 0.7748 0.0000 1
Zr1 Zr 0.3333 0.6667 0.0000 1
Pd1 Pd 0.0000 0.3690 0.5000 1

=====

(2)
# FeCo3Os | Alexandria | PBE | optimized geometry
# Size of the total moment (μB per formula unit): 9.06
# DFT total energy (eV per atom): -6.742
# Energy of formation (eV/f.u.): 7.30
data_FeCo3Os
_chemical_formula_sum 'Fe1 Co3 Os1'
_cell_length_a 4.1568
_cell_length_b 4.1568
_cell_length_c 4.1568
_cell_angle_alpha 90.00
_cell_angle_beta 90.00
_cell_angle_gamma 90.00
_symmetry_space_group_name_H-M 'P m -3 m'
_symmetry_Int_Tables_number 221
_symmetry_space_group_name_Hall '-P 4 2 3'
loop_
_atom_site_label
_atom_site_type_symbol
_atom_site_fract_x
_atom_site_fract_y
_atom_site_fract_z
_atom_site_occupancy
Fe1 Fe 0.0000 0.0000 0.0000 1
Co1 Co 0.0000 0.0000 0.5000 1
Os1 Os 0.5000 0.5000 0.5000 1